Density functional theory data (SCAN) for ZnRu3Au at its PBEsol-relaxed geometry.

Unit cell a=4.770 b=4.770 c=4.770 alpha=90.00 beta=90.00 gamma=90.00
Site moments in Bohr magnetons follow the coordinates.
Atoms (fractional coordinates):
Ru1 0.000 0.500 0.000  2.08
Ru2 0.000 0.000 0.500  2.08
Ru3 0.500 0.000 0.000  2.08
Zn1 0.500 0.500 0.500  -0.05
Au1 0.000 0.000 0.000  0.32

Computed properties:
M_tot   1.270 μB/atom
E_form   2138 meV per atom
SG   No. 221
E_tot   -35.292 eV/atom

=====

Density functional theory data (SCAN) for ZnRuAu2 at its PBEsol-relaxed geometry.

Unit cell a=2.697 b=3.957 c=5.683 alpha=90.00 beta=90.00 gamma=90.00
Atoms (fractional coordinates):
Au1 0.000 0.000 0.749
Au2 0.000 0.000 0.251
Ru1 0.500 0.500 0.000
Zn1 0.500 0.500 0.500

Computed properties:
M_tot   0.002 μB/atom
E_form   161 meV per atom
SG   No. 47
E_tot   -46.502 eV/atom

=====

Density functional theory data (SCAN) for Zn2RuAu at its PBEsol-relaxed geometry.

Unit cell a=2.703 b=4.159 c=5.229 alpha=90.00 beta=104.98 gamma=90.00
Atoms (fractional coordinates):
Au1 0.080 0.000 0.159
Ru1 0.419 0.500 0.838
Zn1 0.827 0.000 0.653
Zn2 0.683 0.500 0.366

Computed properties:
M_tot   0.000 μB/atom
E_form   -9 meV per atom
SG   No. 38
E_tot   -32.762 eV/atom

=====

Density functional theory data (SCAN) for ZnRuAu at its PBEsol-relaxed geometry.

Unit cell a=4.100 b=4.100 c=4.100 alpha=60.00 beta=60.00 gamma=60.00
Atoms (fractional coordinates):
Au1 0.000 0.000 0.000
Ru1 0.500 0.500 0.500
Zn1 0.250 0.250 0.250

Computed properties:
M_tot   0.005 μB/atom
Excess energy over the best structure of this formula in the dataset   352 meV per atom
E_form   446 meV per atom
SG   No. 216
E_tot   -38.720 eV/atom

=====

Density functional theory data (SCAN) for ZnRuAu2 at its PBEsol-relaxed geometry.

Unit cell a=2.840 b=4.643 c=5.364 alpha=115.65 beta=105.35 gamma=90.00
Site moments in Bohr magnetons follow the coordinates.
Atoms (fractional coordinates):
Au1 0.740 0.740 0.479  -0.01
Au2 0.260 0.260 0.521  -0.01
Ru1 0.500 0.000 0.000  0.54
Zn1 0.000 0.500 0.000  -0.01

Computed properties:
M_tot   0.124 μB/atom
E_form   221 meV per atom
SG   No. 71
E_tot   -46.443 eV/atom

=====

Density functional theory data (SCAN) for ZnRuAu at its PBEsol-relaxed geometry.

Unit cell a=2.737 b=2.737 c=6.153 alpha=102.85 beta=102.85 gamma=90.00
Site moments in Bohr magnetons follow the coordinates.
Atoms (fractional coordinates):
Au1 0.998 0.998 0.996  0.01
Ru1 0.674 0.674 0.349  1.43
Zn1 0.328 0.328 0.655  -0.03

Computed properties:
M_tot   0.456 μB/atom
Excess energy over the best structure of this formula in the dataset   0 meV per atom
E_form   94 meV per atom
SG   No. 107
E_tot   -39.073 eV/atom